Entry 1:
A plane-wave DFT calculation with PBE-GGA was carried out for CsCS2N after structural relaxation.

a = 5.5585 Å, b = 5.5585 Å, c = 4.3342 Å
α = 90.00°, β = 90.00°, γ = 90.00°
With the nearest neighbours (Å) after each atom.
Space group P4/mmm (No. 123)
Symmetry-distinct sites (fractional):
Cs1 0.0000 0.0000 0.0000 x1  2 N 2.17
C1 0.5000 0.5000 0.5000 x1  8 S 3.52, 4 N 3.93
S1 0.0000 0.5000 0.0000 x2  2 Cs 2.78
N1 0.0000 0.0000 0.5000 x1  2 Cs 2.17

**N(E_F)**: 1.758 states/eV/atom
**Formation energy from raw total energies**: 3441 meV/atom

=====

Entry 2:
A plane-wave DFT calculation with PBE-GGA was carried out for CsSm2C2N6 after structural relaxation.

a = 10.5909 Å, b = 6.2223 Å, c = 6.2375 Å
α = 90.00°, β = 113.00°, γ = 90.00°
With the nearest neighbours (Å) after each atom.
Space group C2/m (No. 12)
Symmetry-distinct sites (fractional):
Cs1 0.0000 0.0000 0.0000 x2  8 N 3.22-3.41, 2 C 3.34
Sm1 0.1725 0.5000 0.2975 x4  6 N 2.35-2.56
C1 0.1584 0.5000 0.7440 x4  3 N 1.34
N1 0.0750 0.5000 0.8593 x4  1 C 1.34
N2 0.2013 0.3159 0.6815 x8  1 C 1.34

**N(E_F)**: 0.365 states/eV/atom
**Formation energy from raw total energies**: -351 meV/atom

=====

Entry 3:
A plane-wave DFT calculation with PBE-GGA was carried out for CsTb2C2N6 after structural relaxation.

a = 10.5450 Å, b = 6.0972 Å, c = 6.1196 Å
α = 90.00°, β = 113.70°, γ = 90.00°
With the nearest neighbours (Å) after each atom.
Space group C2/m (No. 12)
Symmetry-distinct sites (fractional):
Cs1 0.0000 0.0000 0.0000 x2  8 N 3.19-3.34, 2 C 3.32
Tb1 0.1733 0.5000 0.2972 x4  6 N 2.30-2.51
C1 0.1566 0.5000 0.7416 x4  3 N 1.34-1.35
N1 0.0729 0.5000 0.8582 x4  1 C 1.34
N2 0.1996 0.3119 0.6787 x8  1 C 1.35

**N(E_F)**: 0.349 states/eV/atom
**Formation energy from raw total energies**: -386 meV/atom

=====

Entry 4:
A plane-wave DFT calculation with PBE-GGA was carried out for CsTeCN2 after structural relaxation.

a = 4.1990 Å, b = 4.1990 Å, c = 8.0899 Å
α = 90.00°, β = 90.00°, γ = 90.00°
With the nearest neighbours (Å) after each atom.
Space group P4/mmm (No. 123)
Symmetry-distinct sites (fractional):
Cs1 0.0000 0.0000 0.0000 x1  4 C 2.97
Te1 0.0000 0.0000 0.5000 x1  4 N 2.10
C1 0.5000 0.5000 0.0000 x1  4 Cs 2.97
N1 0.0000 0.5000 0.5000 x2  2 Te 2.10

**Offset from the most stable computed form**: 0.0 meV/atom
**N(E_F)**: 0.864 states/eV/atom
**Formation energy from raw total energies**: 2274 meV/atom